{"formula": "MgScSnSb2", "functional": "PBE-GGA", "state": "optimized geometry", "lattice": [[5.441, 0.000, 0.000], [0.000, 5.528, 0.000], [0.000, 0.000, 5.441]], "species": ["Sc", "Sb", "Sb", "Mg", "Sn"], "fractional_positions": [[0.000, 0.000, 0.000], [0.000, 0.000, 0.500], [0.500, 0.000, 0.000], [0.000, 0.500, 0.000], [0.500, 0.500, 0.500]], "e_form_raw_ev_per_atom": 0.30, "magmom_total_mub_per_fu": 0.000}